No. 1
Material: YAl2Si
Method: DFT, GGA-PBE
State: optimized geometry

abc: 3.4234 3.4234 6.6241
angles: 90.00 90.00 90.00
Last column: nearest neighbours and their distance in Å.
Space group P4/mmm (No. 123)
Inequivalent atoms, fractional coordinates:
1 Y 0.0000 0.0000 0.0000  8 Al 3.14, 2 Si 3.31, 4 Y 3.42
2 Al 0.5000 0.5000 0.3021  1 Al 2.62, 4 Si 2.75
3 Si 0.0000 0.0000 0.5000  8 Al 2.75

Values from the calculation:
Final energy in eV for the cell shown: -20.09
Total magnetic moment in μB/f.u.: 0.07

---

No. 2
Material: YAl2Si
Method: DFT, GGA-PBE
State: optimized geometry

abc: 5.6581 5.6743 9.5449
angles: 90.00 90.00 90.00
Last column: nearest neighbours and their distance in Å.
Space group Fmmm (No. 69)
Inequivalent atoms, fractional coordinates:
1 Y 0.0000 0.0000 0.0000  4 Si 2.83-2.84, 8 Al 3.12
2 Al 0.2500 0.2500 0.2500  4 Al 2.83-2.84, 4 Si 3.12, 4 Y 3.12
3 Si 0.0000 0.0000 0.5000  4 Y 2.83-2.84, 8 Al 3.12

Values from the calculation:
Final energy in eV for the cell shown: -82.98
Total magnetic moment in μB/f.u.: 0.00

---

No. 3
Material: YAl2Si2
Method: DFT, GGA-PBE
State: optimized geometry

abc: 7.2585 7.2585 3.5572
angles: 90.00 90.00 90.00
Last column: nearest neighbours and their distance in Å.
Space group P4/mbm (No. 127)
Inequivalent atoms, fractional coordinates:
1 Y 0.0000 0.0000 0.0000  4 Si 2.88
2 Al 0.1576 0.3424 0.5000  6 Si 2.71-2.87
3 Si 0.1225 0.6225 0.0000  1 Si 2.52, 4 Al 2.71

Values from the calculation:
Final energy in eV for the cell shown: -51.31
Total magnetic moment in μB/f.u.: 0.00

---

No. 4
Material: Y4Al5Si6
Method: DFT, GGA-PBE
State: optimized geometry

abc: 4.1751 18.9051 15.0836
angles: 90.00 90.00 90.00
Last column: nearest neighbours and their distance in Å.
Space group Cmc2_1 (No. 36)
Inequivalent atoms, fractional coordinates:
1 Y 0.0000 0.0150 0.0000  7 Si 2.98-3.12, 3 Al 3.21-3.23
2 Y 0.0000 0.0385 0.2678  6 Si 2.99-3.04, 5 Al 3.00-3.11
3 Y 0.0000 0.1640 0.8084  6 Si 2.89-3.05
4 Y 0.0000 0.1811 0.4458  6 Si 2.94-2.98, 2 Al 3.28
5 Al 0.0000 0.1510 0.1276  4 Si 2.42-2.56
6 Al 0.0000 0.3054 0.1186  4 Si 2.56-2.62, 1 Al 2.79
7 Al 0.0000 0.3398 0.7802  3 Si 2.49-2.54
8 Al 0.0000 0.3563 0.4753  4 Si 2.50-2.69
9 Al 0.0000 0.4443 0.1811  4 Si 2.51-2.60, 1 Al 2.79
10 Si 0.0000 0.1104 0.6195  4 Al 2.51-2.62
11 Si 0.0000 0.2152 0.9891  4 Al 2.42-2.59
12 Si 0.0000 0.2305 0.2600  4 Al 2.49-2.56
13 Si 0.0000 0.4273 0.6300  5 Al 2.55-2.81
14 Si 0.0000 0.4276 0.9081  1 Si 2.50, 1 Al 2.54
15 Si 0.0000 0.4479 0.3531  1 Si 2.50, 2 Al 2.53-2.60

Values from the calculation:
Final energy in eV for the cell shown: -334.21
Total magnetic moment in μB/f.u.: 0.00